# Eu2YWO6 PBE+U optimized geometry
# E   -9.09 eV per atom
# Total magnetization   15.000 μB per formula unit
data_Eu2YWO6
_chemical_formula_sum 'Eu8 Y4 W4 O24'
_symmetry_space_group_name_H-M 'F m -3 m'
_symmetry_Int_Tables_number 225
_symmetry_space_group_name_Hall '-F 4 2 3'
_cell_length_a 8.386
_cell_length_b 8.386
_cell_length_c 8.386
_cell_angle_alpha 90.00
_cell_angle_beta 90.00
_cell_angle_gamma 90.00
loop_
_atom_site_label
_atom_site_type_symbol
_atom_site_fract_x
_atom_site_fract_y
_atom_site_fract_z
_atom_site_occupancy
Eu1 Eu 0.250 0.250 0.250 1
Y1 Y 0.000 0.000 0.000 1
W1 W 0.000 0.000 0.500 1
O1 O 0.000 0.000 0.263 1